Density functional theory data (PBE) for a relaxed CaTa2NbV crystal.

Properties
Theoretical density in Mg/m³: 8.82
Formation energy from the elements in eV per atom: 2.6193
SG: P4/mmm (123)

Unit cell a=4.7535 b=4.5487 c=4.7535 alpha=90.00 beta=90.00 gamma=90.00
Sites, in units of the cell vectors:
Ta1 0.0000 0.0000 0.5000
Ta2 0.5000 0.0000 0.0000
Nb1 0.0000 0.5000 0.0000
V1 0.5000 0.5000 0.5000
Ca1 0.0000 0.0000 0.0000

=====

Density functional theory data (PBE) for a relaxed Cs2NpI3Br3 crystal.

Properties
Theoretical density in Mg/m³: 5.13
Formation energy from raw total energies in eV/atom: -1.226
SG: P-62m (189)

Unit cell a=4.5839 b=9.5706 c=9.5706 alpha=120.00 beta=90.00 gamma=90.00
Last column: magnetic moment on the atom in μB.
Sites, in units of the cell vectors:
Cs1 0.5000 0.3333 0.6667  0.00
Cs2 0.5000 0.6667 0.3333  0.00
Np1 0.0000 0.0000 0.0000  -3.52
I1 0.0000 0.0000 0.3462  0.09
I2 0.0000 0.3462 0.0000  0.09
I3 0.0000 0.6538 0.6538  0.09
Br1 0.5000 0.7905 0.0000  0.08
Br2 0.5000 0.0000 0.7905  0.08
Br3 0.5000 0.2095 0.2095  0.08

=====

Density functional theory data (PBE) for a relaxed HfSnSbS2 crystal.

Properties
Theoretical density in Mg/m³: 5.85
Formation energy from raw total energies in eV/atom: 0.682
SG: P4/mmm (123)

Unit cell a=4.8796 b=5.7638 c=4.8796 alpha=90.00 beta=90.00 gamma=90.00
Sites, in units of the cell vectors:
Sn1 0.0000 0.0000 0.0000
S1 0.0000 0.0000 0.5000
S2 0.5000 0.0000 0.0000
Hf1 0.0000 0.5000 0.0000
Sb1 0.5000 0.5000 0.5000

=====

Density functional theory data (PBE) for a relaxed KBaMn2 crystal.

Properties
Theoretical density in Mg/m³: 3.20
Formation energy from the elements in eV per atom: 0.8190
SG: Pm (6)

Unit cell a=4.7730 b=4.5025 c=7.2663 alpha=71.91 beta=90.00 gamma=90.00
Last column: magnetic moment on the atom in μB.
Sites, in units of the cell vectors:
Ba1 0.0000 0.4798 0.4144  -0.12
Mn1 0.5000 0.0742 0.2246  3.85
Mn2 0.0000 0.1718 0.0341  3.90
K1 0.5000 0.7743 0.8269  -0.01

=====

Density functional theory data (PBE) for a relaxed CsK2ClF crystal.

Properties
Theoretical density in Mg/m³: 2.09
Formation energy from raw total energies in eV/atom: -1.653
SG: P4/mmm (123)

Unit cell a=5.1617 b=5.1617 c=7.9107 alpha=90.00 beta=90.00 gamma=90.00
Sites, in units of the cell vectors:
Cl1 0.5000 0.5000 0.5000
K1 0.0000 0.5000 0.0000
K2 0.5000 0.0000 0.0000
Cs1 0.0000 0.0000 0.5000
F1 0.0000 0.0000 0.0000

=====

Density functional theory data (PBE) for a relaxed BeNi2Sb crystal.

Properties
Theoretical density in Mg/m³: 8.07
Formation energy from raw total energies in eV/atom: -0.039
SG: P4/mmm (123)

Unit cell a=3.7986 b=3.8019 c=3.5346 alpha=90.01 beta=90.00 gamma=90.00
Sites, in units of the cell vectors:
Ni1 0.0000 0.8750 0.1255
Ni2 0.5000 0.3750 0.1247
Be1 0.5000 0.8750 0.6246
Sb1 0.0000 0.3750 0.6251

=====

Density functional theory data (PBE) for a relaxed Nd3ThN3 crystal.

Properties
Theoretical density in Mg/m³: 7.45
Formation energy from raw total energies in eV/atom: -1.095
SG: Cmcm (63)

Unit cell a=5.3925 b=8.2142 c=8.2142 alpha=120.01 beta=90.00 gamma=90.00
Sites, in units of the cell vectors:
N1 0.2500 0.3355 0.1680
N2 0.2500 0.8325 0.1672
N3 0.2500 0.8323 0.6645
N4 0.7500 0.1675 0.8328
N5 0.7500 0.1677 0.3355
N6 0.7500 0.6645 0.8320
Nd1 0.7500 0.3335 0.1670
Nd2 0.7500 0.8333 0.1663
Nd3 0.2500 0.1667 0.3335
Nd4 0.2500 0.6665 0.8330
Nd5 0.7500 0.8333 0.6665
Nd6 0.2500 0.1667 0.8337
Th1 0.7500 0.3331 0.6669
Th2 0.2500 0.6669 0.3331

=====

Density functional theory data (PBE) for a relaxed Ta2SiMo crystal.

Properties
Theoretical density in Mg/m³: 12.21
Formation energy from raw total energies in eV/atom: -0.119
SG: Pm (6)

Unit cell a=4.5388 b=2.8614 c=5.1602 alpha=80.30 beta=90.00 gamma=90.00
Sites, in units of the cell vectors:
Ta1 0.5000 0.2843 0.2726
Ta2 0.0000 0.0220 0.9856
Mo1 0.0000 0.5647 0.4840
Si1 0.5000 0.6290 0.7578

=====

Density functional theory data (PBE) for a relaxed Ta2P crystal.

Properties
Theoretical density in Mg/m³: 13.62
Formation energy from the elements in eV per atom: -0.1306
SG: P6_3/mmc (194)

Unit cell a=4.5371 b=4.5371 c=5.3735 alpha=90.00 beta=90.00 gamma=120.00
Sites, in units of the cell vectors:
Ta1 0.3333 0.6667 0.2500
Ta2 0.0000 0.0000 0.0000
Ta3 0.0000 0.0000 0.5000
Ta4 0.6667 0.3333 0.7500
P1 0.6667 0.3333 0.2500
P2 0.3333 0.6667 0.7500

=====

Density functional theory data (PBE) for a relaxed Cd2SnBi2 crystal.

Properties
Theoretical density in Mg/m³: 8.65
Formation energy from the elements in eV per atom: 0.0975
SG: P4/mbm (127)

Unit cell a=9.1745 b=9.1745 c=3.4719 alpha=90.00 beta=90.00 gamma=90.00
Sites, in units of the cell vectors:
Bi1 0.8149 0.6851 0.0000
Bi2 0.6851 0.1851 0.0000
Bi3 0.3149 0.8149 0.0000
Bi4 0.1851 0.3149 0.0000
Cd1 0.1156 0.6156 0.5000
Cd2 0.3844 0.1156 0.5000
Cd3 0.8844 0.3844 0.5000
Cd4 0.6156 0.8844 0.5000
Sn1 0.5000 0.5000 0.0000
Sn2 0.0000 0.0000 0.0000

=====

Density functional theory data (PBE) for a relaxed PuGaCo crystal.

Properties
Theoretical density in Mg/m³: 12.32
Formation energy from the elements in eV per atom: -0.1682
SG: I4mm (107)

Unit cell a=3.0052 b=3.0052 c=5.9520 alpha=104.62 beta=104.62 gamma=90.00
Last column: magnetic moment on the atom in μB.
Sites, in units of the cell vectors:
Pu1 0.9626 0.9626 0.9251  5.09
Ga1 0.2503 0.2503 0.5007  -0.04
Co1 0.6371 0.6371 0.2742  0.34

=====

Density functional theory data (PBE) for a relaxed RbTl6Au6 crystal.

Properties
Theoretical density in Mg/m³: 12.70
Formation energy from the elements in eV per atom: -0.0509
SG: Immm (71)

Unit cell a=5.9232 b=7.9927 c=7.9927 alpha=84.70 beta=68.25 gamma=68.25
Sites, in units of the cell vectors:
Rb1 0.0000 0.0000 0.0000
Au1 0.5000 0.5000 0.0000
Au2 0.5000 0.0000 0.5000
Au3 0.0000 0.5000 0.0000
Au4 0.0000 0.0000 0.5000
Au5 0.5000 0.2320 0.7680
Au6 0.5000 0.7680 0.2320
Tl1 0.0000 0.6485 0.3515
Tl2 0.3448 0.6552 0.6552
Tl3 0.0000 0.3515 0.6485
Tl4 0.6552 0.3448 0.3448
Tl5 0.6855 0.8145 0.8145
Tl6 0.3145 0.1855 0.1855

=====

Density functional theory data (PBE) for a relaxed LaSmDyTm crystal.

Properties
Theoretical density in Mg/m³: 7.72
Formation energy from the elements in eV per atom: 0.1029
SG: Cm (8)

Unit cell a=3.8154 b=5.8860 c=6.9156 alpha=115.19 beta=73.62 gamma=90.00
Sites, in units of the cell vectors:
La1 0.3901 0.1372 0.2744
Dy1 0.1992 0.8796 0.7593
Tm1 0.9140 0.6440 0.2880
Sm1 0.6826 0.4038 0.8076

=====

Density functional theory data (PBE) for a relaxed PaGeIrRh crystal.

Properties
Theoretical density in Mg/m³: 13.36
Formation energy from the elements in eV per atom: -0.6646
SG: P4/nmm (129)

Unit cell a=3.9261 b=3.9261 c=9.6542 alpha=90.00 beta=90.00 gamma=90.00
Sites, in units of the cell vectors:
Pa1 0.5000 0.0000 0.2100
Pa2 0.0000 0.5000 0.7900
Ge1 0.0000 0.5000 0.3500
Ge2 0.5000 0.0000 0.6500
Ir1 0.0000 0.5000 0.0914
Ir2 0.5000 0.0000 0.9086
Rh1 0.0000 0.0000 0.5000
Rh2 0.5000 0.5000 0.5000

=====

Density functional theory data (PBE) for a relaxed CsScFeTc2 crystal.

Properties
Theoretical density in Mg/m³: 6.60
Formation energy from the elements in eV per atom: 1.1684
SG: P4/mmm (123)

Unit cell a=4.6561 b=4.9903 c=4.6561 alpha=90.00 beta=90.00 gamma=90.00
Last column: magnetic moment on the atom in μB.
Sites, in units of the cell vectors:
Fe1 0.0000 0.0000 0.0000  -0.10
Tc1 0.5000 0.0000 0.0000  0.94
Tc2 0.0000 0.0000 0.5000  1.05
Cs1 0.5000 0.5000 0.5000  0.04
Sc1 0.0000 0.5000 0.0000  -0.10

=====

Density functional theory data (PBE) for a relaxed PuCdCo crystal.

Properties
Theoretical density in Mg/m³: 13.16
Formation energy from the elements in eV per atom: 0.2156
SG: P-1 (2)

Unit cell a=2.8687 b=5.8811 c=7.8969 alpha=120.90 beta=99.54 gamma=103.13
Last column: magnetic moment on the atom in μB.
Sites, in units of the cell vectors:
Cd1 0.1455 0.7146 0.9450  0.00
Cd2 0.8545 0.2854 0.0550  0.00
Pu1 0.5086 0.2814 0.4514  0.68
Pu2 0.4914 0.7186 0.5486  0.68
Co1 0.1604 0.1643 0.7062  -0.10
Co2 0.8396 0.8357 0.2938  -0.10

=====

Density functional theory data (PBE) for a relaxed ErAg3 crystal.

Properties
Theoretical density in Mg/m³: 10.05
Formation energy from the elements in eV per atom: -0.2153
SG: I4/mmm (139)

Unit cell a=4.4028 b=4.4028 c=5.2153 alpha=114.97 beta=114.97 gamma=90.00
Sites, in units of the cell vectors:
Ag1 0.7500 0.2500 0.5000
Ag2 0.2500 0.7500 0.5000
Ag3 0.5000 0.5000 0.0000
Er1 0.0000 0.0000 0.0000

=====

Density functional theory data (PBE) for a relaxed SiPd2I crystal.

Properties
Theoretical density in Mg/m³: 8.19
Formation energy from raw total energies in eV/atom: 0.195
SG: Fm-3m (225)

Unit cell a=4.7243 b=4.7243 c=4.7243 alpha=60.00 beta=60.00 gamma=60.00
Sites, in units of the cell vectors:
I1 0.5000 0.5000 0.5000
Pd1 0.7500 0.7500 0.7500
Pd2 0.2500 0.2500 0.2500
Si1 0.0000 0.0000 0.0000

=====

Density functional theory data (PBE) for a relaxed Ru2W2Au crystal.

Properties
Theoretical density in Mg/m³: 15.51
Formation energy from the elements in eV per atom: 0.2794
SG: P4/mbm (127)

Unit cell a=7.6309 b=7.6309 c=2.8191 alpha=90.00 beta=90.00 gamma=90.00
Sites, in units of the cell vectors:
Ru1 0.8469 0.3469 0.5000
Ru2 0.3469 0.1531 0.5000
Ru3 0.1531 0.6531 0.5000
Ru4 0.6531 0.8469 0.5000
W1 0.8624 0.6376 0.0000
W2 0.1376 0.3624 0.0000
W3 0.6376 0.1376 0.0000
W4 0.3624 0.8624 0.0000
Au1 0.5000 0.5000 0.0000
Au2 0.0000 0.0000 0.0000